1.
First-principles (GGA-PBE) data for a relaxed structure of BaSi2N2, as listed in the Alexandria database.

abc: 7.364 7.364 2.962
angles: 90.00 90.00 90.00
Space group P4/mbm (No. 127)
Asymmetric unit:
Ba1 0.000 0.000 0.000 x2
Si1 0.106 0.394 0.500 x4
N1 0.114 0.614 0.000 x4


2.
First-principles (GGA-PBE) data for a relaxed structure of BaSi2N2, as listed in the Alexandria database.

abc: 3.898 3.898 11.267
angles: 90.00 90.00 90.00
Space group I4/mmm (No. 139)
Asymmetric unit:
Ba1 0.000 0.000 0.000 x2
Si1 0.000 0.500 0.250 x4
N1 0.000 0.000 0.255 x4


Short version: 1 is the least stable of them.


1.
First-principles (GGA-PBE) data for a relaxed structure of BaSiTe2N, as listed in the Alexandria database.

abc: 6.495 6.495 4.381
angles: 90.00 90.00 90.00
Space group P4/mmm (No. 123)
Asymmetric unit:
Ba1 0.000 0.000 0.000 x1
Si1 0.500 0.500 0.500 x1
Te1 0.000 0.500 0.000 x2
N1 0.000 0.000 0.500 x1


2.
First-principles (GGA-PBE) data for a relaxed structure of BaSiTe2N, as listed in the Alexandria database.

abc: 6.243 6.243 3.324
angles: 90.00 90.00 90.00
Space group P4/mmm (No. 123)
Asymmetric unit:
Ba1 0.000 0.000 0.000 x1
Si1 0.500 0.500 0.500 x1
Te1 0.000 0.500 0.500 x2
N1 0.500 0.500 0.000 x1


Short version: 1 is the least stable of them.


1.
First-principles (GGA-PBE) data for a relaxed structure of BaSiTeN2, as listed in the Alexandria database.

abc: 4.355 4.355 5.262
angles: 90.00 90.00 90.00
Space group P4/mmm (No. 123)
Asymmetric unit:
Ba1 0.000 0.000 0.000 x1
Si1 0.500 0.500 0.500 x1
Te1 0.500 0.500 0.000 x1
N1 0.000 0.500 0.500 x2


2.
First-principles (GGA-PBE) data for a relaxed structure of BaSiTeN2, as listed in the Alexandria database.

abc: 4.405 4.405 7.121
angles: 90.00 90.00 90.00
Space group P4/mmm (No. 123)
Asymmetric unit:
Ba1 0.000 0.000 0.000 x1
Si1 0.500 0.500 0.500 x1
Te1 0.000 0.000 0.500 x1
N1 0.000 0.500 0.000 x2


Short version: 2 is the least stable of them.


1.
First-principles (GGA-PBE) data for a relaxed structure of BaSnTeN2, as listed in the Alexandria database.

abc: 4.596 4.596 5.835
angles: 90.00 90.00 90.00
Space group P4/mmm (No. 123)
Asymmetric unit:
Ba1 0.000 0.000 0.000 x1
Sn1 0.500 0.500 0.500 x1
Te1 0.500 0.500 0.000 x1
N1 0.000 0.500 0.500 x2


2.
First-principles (GGA-PBE) data for a relaxed structure of BaSnTeN2, as listed in the Alexandria database.

abc: 4.752 4.752 7.085
angles: 90.00 90.00 90.00
Space group P4/mmm (No. 123)
Asymmetric unit:
Ba1 0.000 0.000 0.000 x1
Sn1 0.500 0.500 0.500 x1
Te1 0.000 0.000 0.500 x1
N1 0.000 0.500 0.000 x2


Short version: 2 is the least stable of them.


1.
First-principles (GGA-PBE) data for a relaxed structure of Ba2ZnSnN, as listed in the Alexandria database.

abc: 7.764 4.079 10.103
angles: 90.00 109.62 90.00
Space group P2_1/m (No. 11)
Asymmetric unit:
Ba1 0.188 0.250 0.365 x2
Ba2 0.198 0.250 0.969 x2
Zn1 0.436 0.750 0.235 x2
Sn1 0.316 0.750 0.696 x2
N1 0.172 0.750 0.165 x2


2.
First-principles (GGA-PBE) data for a relaxed structure of Ba2ZnSnN, as listed in the Alexandria database.

abc: 6.083 6.083 3.839
angles: 90.00 90.00 90.00
Space group P4/mmm (No. 123)
Asymmetric unit:
Ba1 0.000 0.500 0.000 x2
Zn1 0.000 0.000 0.500 x1
Sn1 0.500 0.500 0.500 x1
N1 0.000 0.000 0.000 x1


Short version: 2 is the least stable of them.


1.
First-principles (GGA-PBE) data for a relaxed structure of BaSrN, as listed in the Alexandria database.

abc: 6.851 3.955 14.797
angles: 90.00 98.66 90.00
Space group C2/m (No. 12)
Asymmetric unit:
Ba1 0.220 0.000 0.161 x4
Sr1 0.117 0.500 0.358 x4
N1 0.080 0.000 0.737 x4


2.
First-principles (GGA-PBE) data for a relaxed structure of BaSrN, as listed in the Alexandria database.

abc: 6.759 6.759 6.759
angles: 90.00 90.00 90.00
Space group F-43m (No. 216)
Asymmetric unit:
Ba1 0.000 0.000 0.000 x4
Sr1 0.000 0.000 0.500 x4
N1 0.250 0.250 0.250 x4


3.
First-principles (GGA-PBE) data for a relaxed structure of BaSrN, as listed in the Alexandria database.

abc: 3.8544 3.8544 14.8607
angles: 90.00 90.00 120.00
Space group P-6m2 (No. 187)
Asymmetric unit:
Ba1 0.0000 0.0000 0.1073 x2
Sr1 0.6667 0.3333 0.4011 x2
N1 0.0000 0.0000 0.5000 x1
N2 0.6667 0.3333 0.0000 x1


4.
First-principles (GGA-PBE) data for a relaxed structure of BaSrN, as listed in the Alexandria database.

abc: 4.130 16.704 6.710
angles: 90.00 90.00 90.00
Space group Cmc2_1 (No. 36)
Asymmetric unit:
Ba1 0.000 0.066 0.000 x4
Sr1 0.000 0.348 0.960 x4
N1 0.000 0.079 0.388 x4


Short version: 2 is the least stable of them.